# K2CaHg

A geometry-optimized K2CaHg structure (GGA-PBE, Alexandria).

Summary:
- Space-group type: I4/mmm
- Volume: 165 Å³ per cell
- Theoretical density: 3.2 g cm⁻³
- Total magnetic moment: 0.0 μB per formula unit
- DFT total energy: -1.12 eV per atom

a = 7.326 Å, b = 7.326 Å, c = 7.326 Å
α = 139.34°, β = 139.34°, γ = 58.85°
Fractional coordinates of all 4 atoms:
1 K 0.250 0.750 0.500
2 K 0.750 0.250 0.500
3 Ca 0.000 0.000 0.000
4 Hg 0.500 0.500 0.000

=====

# K2CaHg2

A geometry-optimized K2CaHg2 structure (GGA-PBE, Alexandria).

Summary:
- Space-group type: P4/mbm
- Volume: 387 Å³ per cell
- Theoretical density: 4.5 g cm⁻³
- Total magnetic moment: 0.0 μB per formula unit
- DFT total energy: -1.17 eV per atom
- Energy above the most stable polymorph in this dataset: 0.0000 eV per atom

a = 8.287 Å, b = 8.287 Å, c = 5.634 Å
α = 90.00°, β = 90.00°, γ = 90.00°
Fractional coordinates of all 10 atoms:
1 K 0.170 0.330 0.000
2 K 0.330 0.830 0.000
3 K 0.670 0.170 0.000
4 K 0.830 0.670 0.000
5 Ca 0.000 0.000 0.500
6 Ca 0.500 0.500 0.500
7 Hg 0.131 0.631 0.500
8 Hg 0.369 0.131 0.500
9 Hg 0.631 0.869 0.500
10 Hg 0.869 0.369 0.500

=====

# KCa2Hg

A geometry-optimized KCa2Hg structure (GGA-PBE, Alexandria).

Summary:
- Space-group type: I-42d
- Volume: 475 Å³ per cell
- Theoretical density: 2.2 g cm⁻³
- Total magnetic moment: 0.0 μB per formula unit
- DFT total energy: -1.14 eV per atom

a = 10.677 Å, b = 10.677 Å, c = 10.677 Å
α = 141.14°, β = 141.14°, γ = 56.12°
Fractional coordinates of all 8 atoms:
1 K 0.000 0.000 0.000
2 K 0.750 0.250 0.500
3 Ca 0.302 0.625 0.177
4 Ca 0.375 0.552 0.677
5 Ca 0.448 0.125 0.823
6 Ca 0.875 0.698 0.323
7 Hg 0.250 0.750 0.500
8 Hg 0.500 0.500 0.000

=====

theoretical density of number 2 (K2CaHg2)? 4.5 g cm⁻³